1.
An optimized crystal structure of GaB6C2. Source: the Alexandria database, functional GGA-PBE.

Computed properties:
Its calculated total energy is -5.71 eV per atom. The energy of formation from the pure elements comes out at 976 kJ/mol of formula units. The space-group type is P-1 (2).

Structure (POSCAR):
```
GaB6C2
1.0
-2.017 2.432 0.296
-0.825 1.030 3.140
8.768 7.322 -0.088
Ga B C
1 6 2
direct
0.000 0.000 0.000 Ga
0.001 0.500 0.843 B
0.501 0.500 0.851 B
0.501 0.000 0.853 B
0.499 0.500 0.149 B
0.999 0.500 0.157 B
0.499 0.000 0.147 B
0.296 0.500 0.500 C
0.704 0.500 0.500 C
```



2.
An optimized crystal structure of GaB2C. Source: the Alexandria database, functional GGA-PBE.

Computed properties:
Its calculated total energy is -4.04 eV per atom. The energy of formation from the pure elements comes out at 911 kJ/mol of formula units. The space-group type is Fm-3m (225).

Structure (POSCAR):
```
GaB2C
1.0
0.000 2.675 2.675
2.675 0.000 2.675
2.675 2.675 0.000
C B Ga
1 2 1
direct
0.000 0.000 0.000 C
0.250 0.250 0.250 B
0.750 0.750 0.750 B
0.500 0.500 0.500 Ga
```



3.
An optimized crystal structure of GaBC2. Source: the Alexandria database, functional GGA-PBE.

Computed properties:
Its calculated total energy is -4.45 eV per atom. The energy of formation from the pure elements comes out at 1000 kJ/mol of formula units. The space-group type is Fm-3m (225).

Structure (POSCAR):
```
GaBC2
1.0
0.000 2.617 2.617
2.617 0.000 2.617
2.617 2.617 0.000
C B Ga
2 1 1
direct
0.250 0.250 0.250 C
0.750 0.750 0.750 C
0.000 0.000 0.000 B
0.500 0.500 0.500 Ga
```



4.
An optimized crystal structure of GaBC2. Source: the Alexandria database, functional GGA-PBE.

Computed properties:
Its calculated total energy is -6.29 eV per atom. The energy of formation from the pure elements comes out at 290 kJ/mol of formula units. The space-group type is I-42d (122).

Structure (POSCAR):
```
GaBC2
1.0
-3.271 2.366 0.516
-1.354 -2.506 2.906
-0.087 2.329 4.816
C B Ga
4 2 2
direct
0.533 0.125 0.250 C
0.217 0.625 0.250 C
0.375 0.467 0.750 C
0.875 0.783 0.750 C
0.500 0.500 0.000 B
0.250 0.750 0.500 B
0.000 0.000 0.000 Ga
0.750 0.250 0.500 Ga
```



5.
An optimized crystal structure of Ga2B2C. Source: the Alexandria database, functional GGA-PBE.

Computed properties:
Its calculated total energy is -4.71 eV per atom. The energy of formation from the pure elements comes out at 491 kJ/mol of formula units. The space-group type is P4/mbm (127).

Structure (POSCAR):
```
Ga2B2C
1.0
-1.699 3.613 -2.234
-4.218 -1.152 1.346
0.620 3.169 4.654
C B Ga
2 4 4
direct
0.000 0.000 0.000 C
0.500 0.500 0.000 C
0.367 0.867 0.000 B
0.867 0.633 0.000 B
0.633 0.133 0.000 B
0.133 0.367 0.000 B
0.189 0.689 0.500 Ga
0.689 0.811 0.500 Ga
0.811 0.311 0.500 Ga
0.311 0.189 0.500 Ga
```



6.
An optimized crystal structure of GaB2C. Source: the Alexandria database, functional GGA-PBE.

Computed properties:
Its calculated total energy is -5.86 eV per atom. The energy of formation from the pure elements comes out at 208 kJ/mol of formula units. The space-group type is I-42d (122).

Structure (POSCAR):
```
GaB2C
1.0
4.556 0.000 0.000
0.000 4.556 0.000
2.278 2.278 3.836
C B Ga
2 4 2
direct
0.500 0.500 0.000 C
0.250 0.750 0.500 C
0.517 0.125 0.250 B
0.233 0.625 0.250 B
0.375 0.483 0.750 B
0.875 0.767 0.750 B
0.000 0.000 0.000 Ga
0.750 0.250 0.500 Ga
```



7.
An optimized crystal structure of GaBC3. Source: the Alexandria database, functional GGA-PBE.

Computed properties:
Its calculated total energy is -5.13 eV per atom. The energy of formation from the pure elements comes out at 1130 kJ/mol of formula units. The space-group type is Pm-3m (221).

Structure (POSCAR):
```
GaBC3
1.0
3.531 0.000 0.000
0.000 3.531 0.000
0.000 0.000 3.531
C B Ga
3 1 1
direct
0.000 0.500 0.000 C
0.000 0.000 0.500 C
0.500 0.000 0.000 C
0.000 0.000 0.000 B
0.500 0.500 0.500 Ga
```



8.
An optimized crystal structure of GaBC. Source: the Alexandria database, functional GGA-PBE.

Computed properties:
Its calculated total energy is -6.23 eV per atom. The energy of formation from the pure elements comes out at 22 kJ/mol of formula units. The space-group type is Pca2_1 (29).

Structure (POSCAR):
```
GaBC
1.0
-1.614 4.351 -0.766
-2.307 -0.020 4.750
4.764 2.175 2.323
C Ga B
4 4 4
direct
0.013 0.120 0.051 C
0.513 0.880 0.949 C
0.013 0.620 0.949 C
0.513 0.380 0.051 C
0.034 0.072 0.404 Ga
0.534 0.928 0.596 Ga
0.034 0.572 0.596 Ga
0.534 0.428 0.404 Ga
0.182 0.376 0.020 B
0.682 0.624 0.980 B
0.182 0.876 0.980 B
0.682 0.124 0.020 B
```



9.
An optimized crystal structure of GaB3C. Source: the Alexandria database, functional GGA-PBE.

Computed properties:
Its calculated total energy is -4.70 eV per atom. The energy of formation from the pure elements comes out at 847 kJ/mol of formula units. The space-group type is Pm-3m (221).

Structure (POSCAR):
```
GaB3C
1.0
3.554 0.000 0.000
0.000 3.554 0.000
0.000 0.000 3.554
C B Ga
1 3 1
direct
0.000 0.000 0.000 C
0.000 0.500 0.000 B
0.000 0.000 0.500 B
0.500 0.000 0.000 B
0.500 0.500 0.500 Ga
```



10.
An optimized crystal structure of Ga2B2C. Source: the Alexandria database, functional GGA-PBE.

Computed properties:
Its calculated total energy is -4.20 eV per atom. The energy of formation from the pure elements comes out at 738 kJ/mol of formula units. The space-group type is I4/mmm (139).

Structure (POSCAR):
```
Ga2B2C
1.0
3.690 0.000 0.000
0.000 3.690 0.000
1.845 1.845 4.255
C B Ga
1 2 2
direct
0.000 0.000 0.000 C
0.405 0.405 0.190 B
0.595 0.595 0.810 B
0.750 0.250 0.500 Ga
0.250 0.750 0.500 Ga
```



11.
An optimized crystal structure of HfGaB2C. Source: the Alexandria database, functional GGA-PBE.

Computed properties:
Its calculated total energy is -5.28 eV per atom. The energy of formation from the pure elements comes out at 885 kJ/mol of formula units. The space-group type is P4/mmm (123).

Structure (POSCAR):
```
HfGaB2C
1.0
3.629 0.000 0.000
0.000 5.656 0.000
0.000 0.000 3.629
C B Hf Ga
1 2 1 1
direct
0.500 0.500 0.500 C
0.000 0.000 0.500 B
0.500 0.000 0.000 B
0.000 0.500 0.000 Hf
0.000 0.000 0.000 Ga
```



12.
An optimized crystal structure of Ga2BRhC. Source: the Alexandria database, functional GGA-PBE.

Computed properties:
Its calculated total energy is -4.54 eV per atom. The energy of formation from the pure elements comes out at 638 kJ/mol of formula units. The space-group type is P4/mmm (123).

Structure (POSCAR):
```
Ga2BRhC
1.0
4.846 0.000 0.000
0.000 3.788 0.000
0.000 0.000 4.846
C B Rh Ga
1 1 1 2
direct
0.000 0.500 0.000 C
0.500 0.500 0.500 B
0.000 0.000 0.000 Rh
0.000 0.000 0.500 Ga
0.500 0.000 0.000 Ga
```